# 1
# Na2PmAlTe4 (GGA-PBE, relaxed)
# E_tot   -3.87 eV per atom
# E_form (uncorrected)   -7.24 eV per formula unit
data_Na2PmAlTe4
_chemical_formula_sum 'Na8 Pm4 Al4 Te16'
_symmetry_space_group_name_H-M 'I m m a'
_symmetry_Int_Tables_number 74
_symmetry_space_group_name_Hall '-I 2b 2'
_cell_length_a 8.535
_cell_length_b 9.127
_cell_length_c 12.611
_cell_angle_alpha 90.00
_cell_angle_beta 90.00
_cell_angle_gamma 90.00
loop_
_atom_site_label
_atom_site_fract_x
_atom_site_fract_y
_atom_site_fract_z
Na1 0.000 0.000 0.000
Na2 0.250 0.250 0.250
Pm1 0.000 0.000 0.500
Al1 0.250 0.250 0.750
Te1 0.000 0.039 0.750
Te2 0.249 0.250 0.988

=====

# 2
# TbCeBiSb (GGA-PBE, relaxed)
# E_tot   -5.61 eV per atom
# E_form (uncorrected)   -3.87 eV per formula unit
data_TbCeBiSb
_chemical_formula_sum 'Tb3 Ce3 Bi3 Sb3'
_symmetry_space_group_name_H-M 'R 3 m'
_symmetry_Int_Tables_number 160
_symmetry_space_group_name_Hall 'R 3 -2"'
_cell_length_a 4.4971
_cell_length_b 4.4971
_cell_length_c 22.0522
_cell_angle_alpha 90.00
_cell_angle_beta 90.00
_cell_angle_gamma 120.00
loop_
_atom_site_label
_atom_site_fract_x
_atom_site_fract_y
_atom_site_fract_z
Tb1 0.0000 0.0000 0.0000
Ce1 0.0000 0.0000 0.4958
Bi1 0.0000 0.0000 0.2496
Sb1 0.0000 0.0000 0.7460

=====

# 3
# SmYIn (GGA-PBE, relaxed)
# Energy of formation from the pure elements   -0.297 eV per atom
# E_tot   -4.94 eV per atom
# Distance to the lowest polymorph of the same formula   70 meV/atom
data_SmYIn
_chemical_formula_sum 'Sm2 Y2 In2'
_symmetry_space_group_name_H-M 'P 4/n m m'
_symmetry_Int_Tables_number 129
_cell_length_a 4.702
_cell_length_b 4.702
_cell_length_c 8.387
_cell_angle_alpha 90.00
_cell_angle_beta 90.00
_cell_angle_gamma 90.00
loop_
_symmetry_equiv_pos_as_xyz
'x,y,z'
'-x,-y,-z'
'-y+1/2,x,z'
'y+1/2,-x,-z'
'-x+1/2,-y+1/2,z'
'x+1/2,y+1/2,-z'
'y,-x+1/2,z'
'-y,x+1/2,-z'
'x+1/2,-y,-z'
'-x+1/2,y,z'
'-y,-x,-z'
'y,x,z'
'-x,y+1/2,-z'
'x,-y+1/2,z'
'y+1/2,x+1/2,-z'
'-y+1/2,-x+1/2,z'
loop_
_atom_site_label
_atom_site_fract_x
_atom_site_fract_y
_atom_site_fract_z
Sm1 0.250 0.250 0.147
Y1 0.250 0.750 0.500
In1 0.250 0.250 0.765

=====

# 4
# La4CoPdCl2 (GGA-PBE, relaxed)
# E_tot   -5.53 eV per atom
# E_form (uncorrected)   -8.50 eV per formula unit
data_La4CoPdCl2
_chemical_formula_sum 'La4 Co1 Pd1 Cl2'
_symmetry_space_group_name_H-M 'P 1 2/m 1'
_symmetry_Int_Tables_number 10
_symmetry_space_group_name_Hall '-P 2y'
_cell_length_a 7.246
_cell_length_b 4.137
_cell_length_c 7.976
_cell_angle_alpha 90.00
_cell_angle_beta 107.49
_cell_angle_gamma 90.00
loop_
_atom_site_label
_atom_site_fract_x
_atom_site_fract_y
_atom_site_fract_z
La1 0.222 0.000 0.203
La2 0.246 0.500 0.794
Co1 0.000 0.500 0.000
Pd1 0.500 0.000 0.000
Cl1 0.000 0.000 0.500
Cl2 0.500 0.500 0.500